(1)
First-principles (PBE) data for MgGaRuPt after structural relaxation, as listed in the Alexandria database.

a = 4.362 Å, b = 4.362 Å, c = 4.362 Å
α = 60.00°, β = 60.00°, γ = 60.00°
Atoms (fractional coordinates):
1 Mg 0.000 0.000 0.000
2 Ga 0.500 0.500 0.500
3 Ru 0.250 0.250 0.250
4 Pt 0.750 0.750 0.750

- D(E_F): 1.915 states/eV per cell
- Total DFT energy (no corrections): -5.504 eV/atom
- Density: 11.043 g/cm3
- Formation energy: -0.520 eV/atom

---

(2)
First-principles (PBE) data for MgGaRuPt after structural relaxation, as listed in the Alexandria database.

a = 3.281 Å, b = 4.165 Å, c = 4.335 Å
α = 90.00°, β = 90.00°, γ = 90.00°
Atoms (fractional coordinates):
1 Mg 0.000 0.000 0.000
2 Ga 0.000 0.500 0.500
3 Ru 0.500 0.000 0.500
4 Pt 0.500 0.500 0.000

- D(E_F): 1.063 states/eV per cell
- Total DFT energy (no corrections): -5.506 eV/atom
- Density: 10.939 g/cm3
- Formation energy: -0.521 eV/atom

---

(3)
First-principles (PBE) data for Mg2Sc2GaPt4 after structural relaxation, as listed in the Alexandria database.

a = 6.181 Å, b = 6.181 Å, c = 6.181 Å
α = 117.25°, β = 117.25°, γ = 94.84°
Atoms (fractional coordinates):
1 Mg 0.250 0.750 0.500
2 Mg 0.750 0.250 0.500
3 Sc 0.187 0.187 0.000
4 Sc 0.813 0.813 0.000
5 Ga 0.500 0.500 0.000
6 Pt 0.234 0.234 0.468
7 Pt 0.234 0.766 0.000
8 Pt 0.766 0.234 0.000
9 Pt 0.766 0.766 0.532

- D(E_F): 8.153 states/eV per cell
- Total DFT energy (no corrections): -5.352 eV/atom
- Density: 9.476 g/cm3
- Formation energy: -0.569 eV/atom

---

(4)
First-principles (PBE) data for MgSc2GaPt4 after structural relaxation, as listed in the Alexandria database.

a = 7.911 Å, b = 7.911 Å, c = 7.911 Å
α = 33.44°, β = 33.44°, γ = 33.44°
Atoms (fractional coordinates):
1 Mg 0.000 0.000 0.000
2 Sc 0.250 0.250 0.250
3 Sc 0.750 0.750 0.750
4 Ga 0.500 0.500 0.500
5 Pt 0.127 0.127 0.127
6 Pt 0.376 0.376 0.376
7 Pt 0.624 0.624 0.624
8 Pt 0.873 0.873 0.873

- D(E_F): 3.584 states/eV per cell
- Total DFT energy (no corrections): -6.205 eV/atom
- Density: 11.959 g/cm3
- Formation energy: -1.024 eV/atom

---

(5)
First-principles (PBE) data for MgSc2Ga2Pt5 after structural relaxation, as listed in the Alexandria database.

a = 9.423 Å, b = 9.423 Å, c = 3.805 Å
α = 90.00°, β = 90.00°, γ = 90.00°
Atoms (fractional coordinates):
1 Mg 0.000 0.000 0.000
2 Mg 0.500 0.500 0.000
3 Sc 0.172 0.328 0.000
4 Sc 0.328 0.828 0.000
5 Sc 0.672 0.172 0.000
6 Sc 0.828 0.672 0.000
7 Ga 0.128 0.628 0.000
8 Ga 0.372 0.128 0.000
9 Ga 0.628 0.872 0.000
10 Ga 0.872 0.372 0.000
11 Pt 0.000 0.500 0.500
12 Pt 0.068 0.796 0.500
13 Pt 0.204 0.068 0.500
14 Pt 0.296 0.568 0.500
15 Pt 0.432 0.296 0.500
16 Pt 0.500 0.000 0.500
17 Pt 0.568 0.704 0.500
18 Pt 0.704 0.432 0.500
19 Pt 0.796 0.932 0.500
20 Pt 0.932 0.204 0.500

- D(E_F): 6.530 states/eV per cell
- Total DFT energy (no corrections): -5.930 eV/atom
- Density: 12.079 g/cm3
- Formation energy: -0.879 eV/atom

---

(6)
First-principles (PBE) data for Mg2GaPtSe after structural relaxation, as listed in the Alexandria database.

a = 4.967 Å, b = 4.967 Å, c = 5.144 Å
α = 90.00°, β = 90.00°, γ = 90.00°
Atoms (fractional coordinates):
1 Mg 0.000 0.500 0.000
2 Mg 0.500 0.000 0.000
3 Ga 0.000 0.000 0.500
4 Pt 0.500 0.500 0.000
5 Se 0.500 0.500 0.500

- D(E_F): 2.006 states/eV per cell
- Total DFT energy (no corrections): -3.250 eV/atom
- Density: 5.134 g/cm3
- Energy relative to the elements, uncorrected: -0.10 eV/atom

---

(7)
First-principles (PBE) data for Sm2MgGaPt6 after structural relaxation, as listed in the Alexandria database.

a = 8.497 Å, b = 8.497 Å, c = 8.497 Å
α = 38.65°, β = 38.65°, γ = 38.65°
Atoms (fractional coordinates):
1 Sm 0.205 0.205 0.205
2 Sm 0.795 0.795 0.795
3 Mg 0.500 0.500 0.500
4 Ga 0.000 0.000 0.000
5 Pt 0.250 0.250 0.745
6 Pt 0.250 0.745 0.250
7 Pt 0.255 0.750 0.750
8 Pt 0.745 0.250 0.250
9 Pt 0.750 0.255 0.750
10 Pt 0.750 0.750 0.255

- D(E_F): 2.844 states/eV per cell
- Total DFT energy (no corrections): -5.794 eV/atom
- Density: 12.088 g/cm3
- Formation energy: -0.764 eV/atom

---

(8)
First-principles (PBE) data for Sm2MgGa3Pt4 after structural relaxation, as listed in the Alexandria database.

a = 4.110 Å, b = 4.110 Å, c = 11.448 Å
α = 90.00°, β = 90.00°, γ = 90.00°
Atoms (fractional coordinates):
1 Sm 0.000 0.500 0.242
2 Sm 0.500 0.000 0.758
3 Mg 0.000 0.000 0.500
4 Ga 0.000 0.500 0.869
5 Ga 0.500 0.000 0.131
6 Ga 0.500 0.500 0.500
7 Pt 0.000 0.000 0.000
8 Pt 0.000 0.500 0.649
9 Pt 0.500 0.000 0.351
10 Pt 0.500 0.500 0.000

- D(E_F): 4.792 states/eV per cell
- Total DFT energy (no corrections): -5.380 eV/atom
- Density: 11.290 g/cm3
- Formation energy: -0.953 eV/atom

---

(9)
First-principles (PBE) data for SmMgGa2Pt5 after structural relaxation, as listed in the Alexandria database.

a = 4.148 Å, b = 4.148 Å, c = 9.464 Å
α = 90.00°, β = 90.00°, γ = 90.00°
Atoms (fractional coordinates):
1 Sm 0.000 0.000 0.000
2 Mg 0.000 0.000 0.500
3 Ga 0.500 0.500 0.373
4 Ga 0.500 0.500 0.627
5 Pt 0.000 0.500 0.229
6 Pt 0.000 0.500 0.771
7 Pt 0.500 0.000 0.229
8 Pt 0.500 0.000 0.771
9 Pt 0.500 0.500 0.000

- D(E_F): 2.518 states/eV per cell
- Total DFT energy (no corrections): -5.460 eV/atom
- Density: 13.150 g/cm3
- Formation energy: -0.730 eV/atom

---

(10)
First-principles (PBE) data for Sm2MgGa2Pt5 after structural relaxation, as listed in the Alexandria database.

a = 9.885 Å, b = 9.885 Å, c = 3.803 Å
α = 90.00°, β = 90.00°, γ = 90.00°
Atoms (fractional coordinates):
1 Sm 0.176 0.324 0.000
2 Sm 0.324 0.824 0.000
3 Sm 0.676 0.176 0.000
4 Sm 0.824 0.676 0.000
5 Mg 0.000 0.000 0.000
6 Mg 0.500 0.500 0.000
7 Ga 0.123 0.623 0.000
8 Ga 0.377 0.123 0.000
9 Ga 0.623 0.877 0.000
10 Ga 0.877 0.377 0.000
11 Pt 0.000 0.500 0.500
12 Pt 0.062 0.792 0.500
13 Pt 0.208 0.062 0.500
14 Pt 0.292 0.562 0.500
15 Pt 0.438 0.292 0.500
16 Pt 0.500 0.000 0.500
17 Pt 0.562 0.708 0.500
18 Pt 0.708 0.438 0.500
19 Pt 0.792 0.938 0.500
20 Pt 0.938 0.208 0.500

- D(E_F): 8.757 states/eV per cell
- Total DFT energy (no corrections): -5.606 eV/atom
- Density: 12.870 g/cm3
- Formation energy: -0.877 eV/atom

---

(11)
First-principles (PBE) data for SmMgGa2Pt2 after structural relaxation, as listed in the Alexandria database.

a = 4.425 Å, b = 4.425 Å, c = 6.708 Å
α = 90.00°, β = 90.00°, γ = 120.00°
Atoms (fractional coordinates):
1 Sm 0.000 0.000 0.000
2 Mg 0.000 0.000 0.500
3 Ga 0.333 0.667 0.296
4 Ga 0.667 0.333 0.704
5 Pt 0.333 0.667 0.715
6 Pt 0.667 0.333 0.285

- D(E_F): 3.344 states/eV per cell
- Total DFT energy (no corrections): -4.979 eV/atom
- Density: 10.282 g/cm3
- Formation energy: -0.904 eV/atom

---

(12)
First-principles (PBE) data for SrMgGa2Pt5 after structural relaxation, as listed in the Alexandria database.

a = 4.038 Å, b = 4.038 Å, c = 11.568 Å
α = 90.00°, β = 90.00°, γ = 90.00°
Atoms (fractional coordinates):
1 Sr 0.000 0.000 0.000
2 Mg 0.000 0.000 0.500
3 Ga 0.500 0.500 0.213
4 Ga 0.500 0.500 0.787
5 Pt 0.000 0.500 0.343
6 Pt 0.000 0.500 0.657
7 Pt 0.500 0.000 0.343
8 Pt 0.500 0.000 0.657
9 Pt 0.500 0.500 0.000

- D(E_F): 3.406 states/eV per cell
- Total DFT energy (no corrections): -4.940 eV/atom
- Density: 10.799 g/cm3
- Formation energy: -0.547 eV/atom

---

Question: Number 9 is which compound?
Answer: SmMgGa2Pt5